# PBEsol Sc2BiSF, relaxed
# DOS at the Fermi energy = 4.3 states/eV/cell
# total DFT energy (no corrections) = -27.68 eV for the cell shown
data_Sc2BiSF
_chemical_formula_sum 'Sc2 Bi1 S1 F1'
_symmetry_space_group_name_H-M 'P 4/m m m'
_symmetry_Int_Tables_number 123
_symmetry_space_group_name_Hall '-P 4 2'
_cell_length_a 4.284
_cell_length_b 4.284
_cell_length_c 5.604
_cell_angle_alpha 90.00
_cell_angle_beta 90.00
_cell_angle_gamma 90.00
loop_
_atom_site_label
_atom_site_fract_x
_atom_site_fract_y
_atom_site_fract_z
_atom_site_occupancy
Sc1 0.000 0.500 0.000 1
Bi1 0.000 0.000 0.500 1
S1 0.500 0.500 0.500 1
F1 0.000 0.000 0.000 1

---

# PBEsol ZrBiS2F, relaxed
# DOS at the Fermi energy = 2.9 states/eV/cell
# total DFT energy (no corrections) = -26.59 eV for the cell shown
data_ZrBiS2F
_chemical_formula_sum 'Zr1 Bi1 S2 F1'
_symmetry_space_group_name_H-M 'P 4/m m m'
_symmetry_Int_Tables_number 123
_symmetry_space_group_name_Hall '-P 4 2'
_cell_length_a 4.763
_cell_length_b 4.763
_cell_length_c 5.898
_cell_angle_alpha 90.00
_cell_angle_beta 90.00
_cell_angle_gamma 90.00
loop_
_atom_site_label
_atom_site_fract_x
_atom_site_fract_y
_atom_site_fract_z
_atom_site_occupancy
Zr1 0.000 0.000 0.000 1
Bi1 0.000 0.000 0.500 1
S1 0.000 0.500 0.000 1
F1 0.500 0.500 0.500 1

---

# PBEsol BiSb3F20, relaxed
# DOS at the Fermi energy = 0.0 states/eV/cell
# total DFT energy (no corrections) = -214.56 eV for the cell shown
data_BiSb3F20
_chemical_formula_sum 'Bi2 Sb6 F40'
_symmetry_space_group_name_H-M 'C 1 2 1'
_symmetry_Int_Tables_number 5
_cell_length_a 9.733
_cell_length_b 14.310
_cell_length_c 5.342
_cell_angle_alpha 90.00
_cell_angle_beta 95.62
_cell_angle_gamma 90.00
loop_
_symmetry_equiv_pos_as_xyz
'x,y,z'
'-x,y,-z'
'x+1/2,y+1/2,z'
'-x+1/2,y+1/2,-z'
loop_
_atom_site_label
_atom_site_fract_x
_atom_site_fract_y
_atom_site_fract_z
_atom_site_occupancy
Bi1 0.000 0.000 0.000 1
Sb1 0.000 0.415 0.000 1
Sb2 0.243 0.713 0.234 1
F1 0.100 0.398 0.314 1
F2 0.113 0.026 0.322 1
F3 0.117 0.305 0.893 1
F4 0.120 0.122 0.878 1
F5 0.125 0.498 0.879 1
F6 0.131 0.917 0.847 1
F7 0.135 0.616 0.343 1
F8 0.139 0.217 0.466 1
F9 0.139 0.815 0.324 1
F10 0.163 0.711 0.902 1

---

# PBEsol Bi2SbF, relaxed
# DOS at the Fermi energy = 10.9 states/eV/cell
# total DFT energy (no corrections) = -67.89 eV for the cell shown
data_Bi2SbF
_chemical_formula_sum 'Bi8 Sb4 F4'
_symmetry_space_group_name_H-M 'F m -3 m'
_symmetry_Int_Tables_number 225
_symmetry_space_group_name_Hall '-F 4 2 3'
_cell_length_a 7.242
_cell_length_b 7.242
_cell_length_c 7.242
_cell_angle_alpha 90.00
_cell_angle_beta 90.00
_cell_angle_gamma 90.00
loop_
_atom_site_label
_atom_site_fract_x
_atom_site_fract_y
_atom_site_fract_z
_atom_site_occupancy
Bi1 0.250 0.250 0.250 1
Sb1 0.000 0.000 0.000 1
F1 0.000 0.000 0.500 1

---

# PBEsol BiSe2F, relaxed
# DOS at the Fermi energy = 4.6 states/eV/cell
# total DFT energy (no corrections) = -46.46 eV for the cell shown
data_BiSe2F
_chemical_formula_sum 'Bi3 Se6 F3'
_symmetry_space_group_name_H-M 'R -3 m'
_symmetry_Int_Tables_number 166
_symmetry_space_group_name_Hall '-R 3 2"'
_cell_length_a 4.0145
_cell_length_b 4.0145
_cell_length_c 23.2483
_cell_angle_alpha 90.00
_cell_angle_beta 90.00
_cell_angle_gamma 120.00
loop_
_atom_site_label
_atom_site_fract_x
_atom_site_fract_y
_atom_site_fract_z
_atom_site_occupancy
Bi1 0.0000 0.0000 0.0000 1
Se1 0.0000 0.0000 0.4091 1
F1 0.0000 0.0000 0.5000 1

---

# PBEsol Si2BiF, relaxed
# DOS at the Fermi energy = 4.7 states/eV/cell
# total DFT energy (no corrections) = -73.70 eV for the cell shown
data_Si2BiF
_chemical_formula_sum 'Si8 Bi4 F4'
_symmetry_space_group_name_H-M 'I -4 2 d'
_symmetry_Int_Tables_number 122
_symmetry_space_group_name_Hall 'I -4 2bw'
_cell_length_a 4.416
_cell_length_b 4.416
_cell_length_c 15.961
_cell_angle_alpha 90.00
_cell_angle_beta 90.00
_cell_angle_gamma 90.00
loop_
_atom_site_label
_atom_site_fract_x
_atom_site_fract_y
_atom_site_fract_z
_atom_site_occupancy
Si1 0.133 0.250 0.125 1
Bi1 0.000 0.000 0.500 1
F1 0.000 0.000 0.000 1

---

Which formula does entry 6 have?
Si2BiF

---

What is the total DFT energy (no corrections) in the fourth record?
-67.89 eV for the cell shown

---

Which value of DOS at the Fermi energy does entry 6 give?
4.7 states/eV/cell

---

Repeat the second record exactly.
# PBEsol ZrBiS2F, relaxed
# DOS at the Fermi energy = 2.9 states/eV/cell
# total DFT energy (no corrections) = -26.59 eV for the cell shown
data_ZrBiS2F
_chemical_formula_sum 'Zr1 Bi1 S2 F1'
_symmetry_space_group_name_H-M 'P 4/m m m'
_symmetry_Int_Tables_number 123
_symmetry_space_group_name_Hall '-P 4 2'
_cell_length_a 4.763
_cell_length_b 4.763
_cell_length_c 5.898
_cell_angle_alpha 90.00
_cell_angle_beta 90.00
_cell_angle_gamma 90.00
loop_
_atom_site_label
_atom_site_fract_x
_atom_site_fract_y
_atom_site_fract_z
_atom_site_occupancy
Zr1 0.000 0.000 0.000 1
Bi1 0.000 0.000 0.500 1
S1 0.000 0.500 0.000 1
F1 0.500 0.500 0.500 1